VASP calculation (PBE) on a geometry-optimized YHo12Tl3 structure.

Cell and atoms, written as POSCAR:
```
YHo12Tl3
1.0
4.8440 0.0000 0.0000
0.0000 4.8440 0.0000
0.0000 0.0000 19.7815
Y Ho Tl
1 12 3
direct
0.0000 0.0000 0.0000
0.0000 0.5000 0.1303
0.0000 0.5000 0.3773
0.0000 0.5000 0.6227
0.0000 0.5000 0.8697
0.5000 0.0000 0.1303
0.5000 0.0000 0.3773
0.5000 0.0000 0.6227
0.5000 0.0000 0.8697
0.5000 0.5000 0.0000
0.5000 0.5000 0.2551
0.5000 0.5000 0.5000
0.5000 0.5000 0.7449
0.0000 0.0000 0.2568
0.0000 0.0000 0.5000
0.0000 0.0000 0.7432
```

Properties
volume: 464.2 Å³/cell
energy of formation: -121 meV per atom

***

VASP calculation (PBE) on a geometry-optimized YHo4Tl2 structure.

Cell and atoms, written as POSCAR:
```
YHo4Tl2
1.0
2.6314 1.5193 9.5451
-2.6314 1.5193 9.5451
0.0000 -3.0385 9.5451
Y Ho Tl
1 4 2
direct
0.0000 0.0000 0.0000
0.2142 0.2142 0.2142
0.3809 0.3809 0.3809
0.6191 0.6191 0.6191
0.7858 0.7858 0.7858
0.1051 0.1051 0.1051
0.8949 0.8949 0.8949
```

Properties
volume: 229.0 Å³/cell
energy of formation: 98 meV per atom

***

VASP calculation (PBE) on a geometry-optimized YHo3Tl2 structure.

Cell and atoms, written as POSCAR:
```
YHo3Tl2
1.0
5.0689 0.0000 0.0000
0.0000 9.9202 0.0000
0.0000 0.0000 6.8392
Y Ho Tl
2 6 4
direct
0.0000 0.0443 0.0000
0.0000 0.9557 0.5000
0.0000 0.3126 0.6214
0.0000 0.6874 0.1214
0.5000 0.1895 0.2831
0.5000 0.4562 0.9049
0.5000 0.5438 0.4049
0.5000 0.8105 0.7831
0.0000 0.3679 0.1603
0.0000 0.6321 0.6603
0.5000 0.1323 0.7429
0.5000 0.8677 0.2429
```

Properties
volume: 343.9 Å³/cell
energy of formation: -275 meV per atom

***

VASP calculation (PBE) on a geometry-optimized YHo3Tl2 structure.

Cell and atoms, written as POSCAR:
```
YHo3Tl2
1.0
8.1841 -2.6705 0.0000
8.1841 2.6705 0.0000
-4.6247 0.0000 8.0352
Y Ho Tl
2 6 4
direct
0.1306 0.1306 0.1703
0.8694 0.8694 0.8297
0.0580 0.0580 0.7152
0.3073 0.3073 0.0082
0.3841 0.3841 0.4561
0.6159 0.6159 0.5439
0.6927 0.6927 0.9918
0.9420 0.9420 0.2848
0.2234 0.2234 0.5946
0.4780 0.4780 0.8261
0.5220 0.5220 0.1739
0.7766 0.7766 0.4054
```

Properties
volume: 351.2 Å³/cell
energy of formation: -159 meV per atom

***

VASP calculation (PBE) on a geometry-optimized YHo7Tl4 structure.

Cell and atoms, written as POSCAR:
```
YHo7Tl4
1.0
7.4452 -2.8749 0.0000
7.4452 2.8749 0.0000
-5.1873 0.0000 8.3364
Y Ho Tl
1 7 4
direct
0.0000 0.0000 0.0000
0.0678 0.0678 0.4072
0.2062 0.2062 0.8794
0.2591 0.2591 0.3077
0.5000 0.5000 0.0000
0.7409 0.7409 0.6923
0.7938 0.7938 0.1206
0.9322 0.9322 0.5928
0.3151 0.3151 0.6625
0.4507 0.4507 0.2846
0.5493 0.5493 0.7154
0.6849 0.6849 0.3375
```

Properties
volume: 356.9 Å³/cell
energy of formation: -1 meV per atom

***

VASP calculation (PBE) on a geometry-optimized Y5Ho5Tl structure.

Cell and atoms, written as POSCAR:
```
Y5Ho5Tl
1.0
6.0971 0.0000 0.0000
-3.0485 5.2802 0.0000
0.0000 0.0000 11.1540
Y Ho Tl
5 5 1
direct
0.0000 0.0000 0.0000
0.3333 0.6667 0.2973
0.3333 0.6667 0.7027
0.6667 0.3333 0.1843
0.6667 0.3333 0.8157
0.0000 0.0000 0.2683
0.0000 0.0000 0.7317
0.3390 0.1695 0.5000
0.8305 0.1695 0.5000
0.8305 0.6610 0.5000
0.3333 0.6667 0.0000
```

Properties
volume: 359.1 Å³/cell
energy of formation: 296 meV per atom

***

VASP calculation (PBE) on a geometry-optimized Y2Ho5Tl structure.

Cell and atoms, written as POSCAR:
```
Y2Ho5Tl
1.0
-3.4971 3.4971 4.9647
3.4971 -3.4971 4.9647
3.4971 3.4971 -4.9647
Y Ho Tl
2 5 1
direct
0.0000 0.5000 0.5000
0.5000 0.0000 0.5000
0.0000 0.0000 0.0000
0.0000 0.0000 0.5000
0.0000 0.5000 0.0000
0.5000 0.0000 0.0000
0.5000 0.5000 0.5000
0.5000 0.5000 0.0000
```

Properties
volume: 242.9 Å³/cell
energy of formation: -36 meV per atom

***

VASP calculation (PBE) on a geometry-optimized Y2Ho3Tl2 structure.

Cell and atoms, written as POSCAR:
```
Y2Ho3Tl2
1.0
4.6678 -2.6975 0.0000
4.6678 2.6975 0.0000
-3.1202 0.0000 8.0301
Y Ho Tl
2 3 2
direct
0.0751 0.0751 0.2249
0.9249 0.9249 0.7751
0.3458 0.3458 0.0374
0.5000 0.5000 0.5000
0.6542 0.6542 0.9626
0.2164 0.2164 0.6494
0.7836 0.7836 0.3506
```

Properties
volume: 202.2 Å³/cell
energy of formation: -211 meV per atom

***

VASP calculation (PBE) on a geometry-optimized Y2HoTl3 structure.

Cell and atoms, written as POSCAR:
```
Y2HoTl3
1.0
1.8259 -14.3511 0.0000
1.8259 14.3511 0.0000
0.0000 0.0000 6.6968
Y Ho Tl
4 2 6
direct
0.0044 0.9956 0.7500
0.1511 0.8489 0.2500
0.8489 0.1511 0.7500
0.9956 0.0044 0.2500
0.3309 0.6691 0.2500
0.6691 0.3309 0.7500
0.2571 0.7429 0.7500
0.4232 0.5768 0.5060
0.4232 0.5768 0.9940
0.5768 0.4232 0.0060
0.5768 0.4232 0.4940
0.7429 0.2571 0.2500
```

Properties
volume: 351.0 Å³/cell
energy of formation: -239 meV per atom

***

VASP calculation (PBE) on a geometry-optimized Y7Ho3Tl structure.

Cell and atoms, written as POSCAR:
```
Y7Ho3Tl
1.0
6.9877 0.0000 0.0000
-3.4939 6.0515 0.0000
0.0000 0.0000 8.5269
Y Ho Tl
7 3 1
direct
0.0000 0.0000 0.0000
0.1634 0.3269 0.3381
0.1634 0.8366 0.3381
0.5015 0.0031 0.0118
0.5015 0.4985 0.0118
0.6731 0.8366 0.3381
0.9969 0.4985 0.0118
0.3305 0.1653 0.6742
0.8347 0.1653 0.6742
0.8347 0.6695 0.6742
0.6667 0.3333 0.3400
```

Properties
volume: 360.6 Å³/cell
energy of formation: 156 meV per atom

***

VASP calculation (PBE) on a geometry-optimized YHo5Tl6 structure.

Cell and atoms, written as POSCAR:
```
YHo5Tl6
1.0
4.9006 -5.5987 0.0000
4.9006 5.5987 0.0000
-1.4367 0.0000 6.3510
Y Ho Tl
1 5 6
direct
0.0000 0.0000 0.0000
0.1669 0.8331 0.5000
0.3339 0.6661 0.0000
0.5000 0.5000 0.5000
0.6661 0.3339 0.0000
0.8331 0.1669 0.5000
0.0829 0.4178 0.2509
0.2501 0.2501 0.7482
0.4178 0.0829 0.2509
0.5822 0.9171 0.7491
0.7499 0.7499 0.2518
0.9171 0.5822 0.7491
```

Properties
volume: 348.5 Å³/cell
energy of formation: -253 meV per atom

***

VASP calculation (PBE) on a geometry-optimized YHo7Tl2 structure.

Cell and atoms, written as POSCAR:
```
YHo7Tl2
1.0
4.5677 -7.7745 0.0000
4.5677 7.7745 0.0000
0.0000 0.0000 5.2990
Y Ho Tl
1 7 2
direct
0.0000 0.0000 0.0000
0.0612 0.3020 0.5000
0.2259 0.7741 0.0000
0.3020 0.0612 0.5000
0.5000 0.5000 0.5000
0.6980 0.9388 0.5000
0.7741 0.2259 0.0000
0.9388 0.6980 0.5000
0.3065 0.6935 0.5000
0.6935 0.3065 0.5000
```

Properties
volume: 376.3 Å³/cell
energy of formation: 365 meV per atom

***

VASP calculation (PBE) on a geometry-optimized Y3Ho7Tl structure.

Cell and atoms, written as POSCAR:
```
Y3Ho7Tl
1.0
6.9426 0.0000 0.0000
-3.4713 6.0125 0.0000
0.0000 0.0000 8.5075
Y Ho Tl
3 7 1
direct
0.1676 0.3353 0.0000
0.1676 0.8324 0.0000
0.6647 0.8324 0.0000
0.0065 0.5032 0.6614
0.3308 0.1654 0.3400
0.3333 0.6667 0.3294
0.4968 0.5032 0.6614
0.4968 0.9935 0.6614
0.8346 0.1654 0.3400
0.8346 0.6692 0.3400
0.0000 0.0000 0.6674
```

Properties
volume: 355.1 Å³/cell
energy of formation: 152 meV per atom

***

VASP calculation (PBE) on a geometry-optimized Y15Ho4Tl structure.

Cell and atoms, written as POSCAR:
```
Y15Ho4Tl
1.0
4.9848 0.0000 0.0000
0.0000 4.9848 0.0000
0.0000 0.0000 25.2836
Y Ho Tl
15 4 1
direct
0.0000 0.0000 0.0000
0.0000 0.0000 0.1957
0.0000 0.0000 0.3988
0.0000 0.0000 0.6012
0.0000 0.0000 0.8043
0.0000 0.5000 0.0972
0.0000 0.5000 0.2985
0.0000 0.5000 0.5000
0.0000 0.5000 0.7015
0.0000 0.5000 0.9028
0.5000 0.0000 0.0972
0.5000 0.0000 0.2985
0.5000 0.0000 0.5000
0.5000 0.0000 0.7015
0.5000 0.0000 0.9028
0.5000 0.5000 0.1984
0.5000 0.5000 0.3991
0.5000 0.5000 0.6009
0.5000 0.5000 0.8016
0.5000 0.5000 0.0000
```

Properties
volume: 628.2 Å³/cell
energy of formation: -15 meV per atom

***

VASP calculation (PBE) on a geometry-optimized Y3Ho4Tl4 structure.

Cell and atoms, written as POSCAR:
```
Y3Ho4Tl4
1.0
-1.8484 4.7836 9.2093
1.8484 -4.7836 9.2093
1.8484 4.7836 -9.2093
Y Ho Tl
3 4 4
direct
0.0000 0.0000 0.0000
0.4024 0.9024 0.5000
0.5976 0.0976 0.5000
0.0279 0.3348 0.6931
0.3582 0.6652 0.6931
0.6418 0.3348 0.3069
0.9721 0.6652 0.3069
0.2648 0.2648 0.0000
0.2778 0.5000 0.7778
0.7222 0.5000 0.2222
0.7352 0.7352 0.0000
```

Properties
volume: 325.7 Å³/cell
energy of formation: -234 meV per atom

***

VASP calculation (PBE) on a geometry-optimized Y4Ho4Tl structure.

Cell and atoms, written as POSCAR:
```
Y4Ho4Tl
1.0
-5.3497 5.3497 2.4082
5.3497 -5.3497 2.4082
5.3497 5.3497 -2.4082
Y Ho Tl
4 4 1
direct
0.1613 0.1613 0.3226
0.1613 0.8387 0.0000
0.8387 0.1613 0.0000
0.8387 0.8387 0.6774
0.1618 0.5000 0.6618
0.5000 0.1618 0.6618
0.5000 0.8382 0.3382
0.8382 0.5000 0.3382
0.5000 0.5000 0.0000
```

Properties
volume: 275.7 Å³/cell
energy of formation: -43 meV per atom

***

VASP calculation (PBE) on a geometry-optimized Y2Ho5Tl4 structure.

Cell and atoms, written as POSCAR:
```
Y2Ho5Tl4
1.0
-1.8374 4.4435 10.4187
1.8374 -4.4435 10.4187
1.8374 4.4435 -10.4187
Y Ho Tl
2 5 4
direct
0.0830 0.0830 0.0000
0.9170 0.9170 0.0000
0.1467 0.3481 0.7986
0.4505 0.6519 0.7986
0.5000 0.0000 0.5000
0.5495 0.3481 0.2014
0.8533 0.6519 0.2014
0.2247 0.5000 0.7247
0.2258 0.2258 0.0000
0.7742 0.7742 0.0000
0.7753 0.5000 0.2753
```

Properties
volume: 340.3 Å³/cell
energy of formation: -78 meV per atom

***

VASP calculation (PBE) on a geometry-optimized YHo8Tl2 structure.

Cell and atoms, written as POSCAR:
```
YHo8Tl2
1.0
4.4301 -7.5773 0.0000
4.4301 7.5773 0.0000
-2.2292 0.0000 5.0938
Y Ho Tl
1 8 2
direct
0.0000 0.0000 0.0000
0.0952 0.3225 0.6181
0.2171 0.7829 0.0000
0.3225 0.0952 0.6181
0.4022 0.4022 0.2024
0.5978 0.5978 0.7976
0.6775 0.9048 0.3819
0.7829 0.2171 0.0000
0.9048 0.6775 0.3819
0.3063 0.6937 0.5000
0.6937 0.3063 0.5000
```

Properties
volume: 342.0 Å³/cell
energy of formation: 3 meV per atom

***

VASP calculation (PBE) on a geometry-optimized Y3Ho3Tl structure.

Cell and atoms, written as POSCAR:
```
Y3Ho3Tl
1.0
9.4240 0.0000 0.0000
-4.7120 8.1614 0.0000
0.0000 0.0000 5.5157
Y Ho Tl
6 6 2
direct
0.1068 0.6282 0.2500
0.3718 0.4786 0.2500
0.4786 0.1068 0.7500
0.5214 0.8932 0.2500
0.6282 0.5214 0.7500
0.8932 0.3718 0.7500
0.0629 0.8239 0.7500
0.1761 0.2390 0.7500
0.2390 0.0629 0.2500
0.7610 0.9371 0.7500
0.8239 0.7610 0.2500
0.9371 0.1761 0.2500
0.3333 0.6667 0.7500
0.6667 0.3333 0.2500
```

Properties
volume: 424.3 Å³/cell
energy of formation: -73 meV per atom

***

VASP calculation (PBE) on a geometry-optimized Y12Ho5Tl2 structure.

Cell and atoms, written as POSCAR:
```
Y12Ho5Tl2
1.0
7.6656 -4.7306 0.0000
7.6656 4.7306 0.0000
-0.2184 0.0000 8.2818
Y Ho Tl
12 5 2
direct
0.0517 0.0517 0.3166
0.0725 0.6774 0.3448
0.1644 0.5336 0.7673
0.3226 0.9275 0.6552
0.4143 0.4143 0.1180
0.4664 0.8356 0.2327
0.5336 0.1644 0.7673
0.5857 0.5857 0.8820
0.6774 0.0725 0.3448
0.8356 0.4664 0.2327
0.9275 0.3226 0.6552
0.9483 0.9483 0.6834
0.1860 0.1860 0.0033
0.2647 0.2647 0.4181
0.5000 0.5000 0.5000
0.7353 0.7353 0.5819
0.8140 0.8140 0.9967
0.1901 0.8099 0.0000
0.8099 0.1901 0.0000
```

Properties
volume: 600.6 Å³/cell
energy of formation: 17 meV per atom